A:
This record from Alexandria via LeMat-Bulk describes an optimized crystal structure of CaBeCu. The functional is PBE-GGA.

```
CaBeCu
1.0
4.3352 0.0000 0.0000
0.0000 13.6747 0.0000
0.0000 0.0000 4.2504
Ca Be Cu
4 4 4
direct
0.0000 0.1378 0.2500
0.0000 0.8622 0.7500
0.5000 0.3622 0.7500
0.5000 0.6378 0.2500
0.0000 0.5000 0.0000
0.0000 0.5000 0.5000
0.5000 0.0000 0.0000
0.5000 0.0000 0.5000
0.0000 0.3604 0.2500
0.0000 0.6396 0.7500
0.5000 0.1396 0.7500
0.5000 0.8604 0.2500
```

Results
The value obtained for the density is 2969 kg/m³. As for the space group: Cmcm (63).

***

B:
This record from Alexandria via LeMat-Bulk describes an optimized crystal structure of CaBeCu. The functional is PBE-GGA.

```
CaBeCu
1.0
3.0984 0.0000 0.0000
0.0000 3.0984 0.0000
0.0000 0.0000 10.4915
Ca Be Cu
2 2 2
direct
0.0000 0.0000 0.0000
0.5000 0.5000 0.5000
0.0000 0.0000 0.2890
0.5000 0.5000 0.7890
0.0000 0.0000 0.7116
0.5000 0.5000 0.2116
```

Results
The value obtained for the density is 3714 kg/m³. As for the space group: I4mm (107).

***

Quick one: most stable of them? B

***

A:
This record from Alexandria via LeMat-Bulk describes an optimized crystal structure of CaBe3Cu. The functional is PBE-GGA.

```
CaBe3Cu
1.0
5.1376 0.0000 0.0000
0.0000 5.1376 0.0000
0.0000 0.0000 5.1376
Ca Be Cu
1 3 1
direct
0.0000 0.0000 0.0000
0.0000 0.0000 0.5000
0.0000 0.5000 0.0000
0.5000 0.0000 0.0000
0.5000 0.5000 0.5000
```

Results
The value obtained for the density is 1600 kg/m³. As for the space group: Pm-3m (221).

***

B:
This record from Alexandria via LeMat-Bulk describes an optimized crystal structure of CaBe3Cu. The functional is PBE-GGA.

```
CaBe3Cu
1.0
4.2096 0.0000 0.0000
0.0000 4.2096 0.0000
0.0000 0.0000 4.2096
Ca Be Cu
1 3 1
direct
0.0000 0.0000 0.0000
0.0000 0.5000 0.5000
0.5000 0.0000 0.5000
0.5000 0.5000 0.0000
0.5000 0.5000 0.5000
```

Results
The value obtained for the density is 2908 kg/m³. As for the space group: Pm-3m (221).

***

Quick one: most stable of them? B

***

A:
This record from Alexandria via LeMat-Bulk describes an optimized crystal structure of CaBeCuPt2. The functional is PBE-GGA.

```
CaBeCuPt2
1.0
4.3383 0.0000 0.0000
0.0000 4.3383 0.0000
0.0000 0.0000 4.3229
Ca Be Cu Pt
1 1 1 2
direct
0.0000 0.0000 0.0000
0.5000 0.5000 0.5000
0.5000 0.5000 0.0000
0.0000 0.5000 0.5000
0.5000 0.0000 0.5000
```

Results
The value obtained for the density is 10262 kg/m³. As for the space group: P4/mmm (123).

***

B:
This record from Alexandria via LeMat-Bulk describes an optimized crystal structure of CaBeCuPt2. The functional is PBE-GGA.

```
CaBeCuPt2
1.0
4.9499 0.0000 0.0000
0.0000 4.9499 0.0000
0.0000 0.0000 4.7616
Ca Be Cu Pt
1 1 1 2
direct
0.0000 0.0000 0.0000
0.0000 0.0000 0.5000
0.5000 0.5000 0.5000
0.0000 0.5000 0.0000
0.5000 0.0000 0.0000
```

Results
The value obtained for the density is 7156 kg/m³. As for the space group: P4/mmm (123).

***

Quick one: most stable of them? A

***

A:
This record from Alexandria via LeMat-Bulk describes an optimized crystal structure of Ca2BeF6. The functional is PBE-GGA.

```
Ca2BeF6
1.0
4.8971 0.0000 0.0000
0.0000 4.8971 0.0000
0.0000 0.0000 9.6835
Ca Be F
4 2 12
direct
0.0000 0.0000 0.1657
0.0000 0.0000 0.8343
0.5000 0.5000 0.3343
0.5000 0.5000 0.6657
0.0000 0.0000 0.5000
0.5000 0.5000 0.0000
0.1778 0.1778 0.3631
0.1778 0.1778 0.6369
0.2370 0.2370 0.0000
0.2630 0.7370 0.5000
0.3222 0.6778 0.1369
0.3222 0.6778 0.8631
0.6778 0.3222 0.1369
0.6778 0.3222 0.8631
0.7370 0.2630 0.5000
0.7630 0.7630 0.0000
0.8222 0.8222 0.3631
0.8222 0.8222 0.6369
```

Results
The value obtained for the density is 2905 kg/m³. As for the space group: P4_2/mnm (136).

***

B:
This record from Alexandria via LeMat-Bulk describes an optimized crystal structure of Ca2BeF6. The functional is PBE-GGA.

```
Ca2BeF6
1.0
5.6731 -3.8161 0.0000
5.6731 3.8161 0.0000
-5.4945 0.0000 6.7755
Ca Be F
4 2 12
direct
0.1145 0.2055 0.0060
0.2055 0.1145 0.5060
0.7945 0.8855 0.4940
0.8855 0.7945 0.9940
0.4643 0.5357 0.2500
0.5357 0.4643 0.7500
0.0936 0.1007 0.2044
0.1007 0.0936 0.7044
0.2207 0.5517 0.0698
0.3087 0.4658 0.7493
0.4483 0.7793 0.4302
0.4658 0.3087 0.2493
0.5342 0.6913 0.7507
0.5517 0.2207 0.5698
0.6913 0.5342 0.2507
0.7793 0.4483 0.9302
0.8993 0.9064 0.2956
0.9064 0.8993 0.7956
```

Results
The value obtained for the density is 2300 kg/m³. As for the space group: C2/c (15).

***

Quick one: most stable of them? B

***

A:
This record from Alexandria via LeMat-Bulk describes an optimized crystal structure of CaBe3F. The functional is PBE-GGA.

```
CaBe3F
1.0
5.7281 0.0000 0.0000
0.0000 5.7281 0.0000
0.0000 0.0000 5.7281
Ca Be F
1 3 1
direct
0.0000 0.0000 0.0000
0.0000 0.0000 0.5000
0.0000 0.5000 0.0000
0.5000 0.0000 0.0000
0.5000 0.5000 0.5000
```

Results
The value obtained for the density is 761 kg/m³. As for the space group: Pm-3m (221).

***

B:
This record from Alexandria via LeMat-Bulk describes an optimized crystal structure of CaBe3F. The functional is PBE-GGA.

```
CaBe3F
1.0
4.2291 0.0000 0.0000
0.0000 4.2291 0.0000
0.0000 0.0000 4.2291
Ca Be F
1 3 1
direct
0.0000 0.0000 0.0000
0.0000 0.5000 0.5000
0.5000 0.0000 0.5000
0.5000 0.5000 0.0000
0.5000 0.5000 0.5000
```

Results
The value obtained for the density is 1891 kg/m³. As for the space group: Pm-3m (221).

***

Quick one: most stable of them? B

***

A:
This record from Alexandria via LeMat-Bulk describes an optimized crystal structure of CaBeN2F. The functional is PBE-GGA.

```
CaBeN2F
1.0
4.6515 0.0000 0.0000
0.0000 4.6515 0.0000
0.0000 0.0000 4.1660
Ca Be N F
1 1 2 1
direct
0.0000 0.0000 0.0000
0.5000 0.5000 0.5000
0.0000 0.5000 0.0000
0.5000 0.0000 0.0000
0.0000 0.0000 0.5000
```

Results
The value obtained for the density is 1770 kg/m³. As for the space group: P4/mmm (123).

***

B:
This record from Alexandria via LeMat-Bulk describes an optimized crystal structure of CaBeN2F. The functional is PBE-GGA.

```
CaBeN2F
1.0
3.3529 0.0000 0.0000
0.0000 3.3529 0.0000
0.0000 0.0000 4.5926
Ca Be N F
1 1 2 1
direct
0.0000 0.0000 0.0000
0.5000 0.5000 0.5000
0.0000 0.5000 0.5000
0.5000 0.0000 0.5000
0.5000 0.5000 0.0000
```

Results
The value obtained for the density is 3091 kg/m³. As for the space group: P4/mmm (123).

***

Quick one: most stable of them? B

***

A:
This record from Alexandria via LeMat-Bulk describes an optimized crystal structure of CaBeOF2. The functional is PBE-GGA.

```
CaBeOF2
1.0
4.1843 0.0000 0.0000
0.0000 4.1843 0.0000
0.0000 0.0000 4.6138
Ca Be O F
1 1 1 2
direct
0.0000 0.0000 0.0000
0.5000 0.5000 0.5000
0.0000 0.0000 0.5000
0.0000 0.5000 0.0000
0.5000 0.0000 0.0000
```

Results
The value obtained for the density is 2119 kg/m³. As for the space group: P4/mmm (123).

***

B:
This record from Alexandria via LeMat-Bulk describes an optimized crystal structure of CaBeOF2. The functional is PBE-GGA.

```
CaBeOF2
1.0
3.6188 0.0000 0.0000
0.0000 3.6188 0.0000
0.0000 0.0000 3.6116
Ca Be O F
1 1 1 2
direct
0.0000 0.0000 0.0000
0.5000 0.5000 0.5000
0.5000 0.5000 0.0000
0.0000 0.5000 0.5000
0.5000 0.0000 0.5000
```

Results
The value obtained for the density is 3619 kg/m³. As for the space group: P4/mmm (123).

***

Quick one: most stable of them? B

***

A:
This record from Alexandria via LeMat-Bulk describes an optimized crystal structure of CaBe2Fe. The functional is PBE-GGA.

```
CaBe2Fe
1.0
2.8667 0.0000 0.0000
0.0000 2.9794 0.0000
0.0000 0.0000 6.2861
Ca Be Fe
1 2 1
direct
0.0000 0.0000 0.0000
0.5000 0.5000 0.3376
0.5000 0.5000 0.6624
0.0000 0.0000 0.5000
```

Results
The value obtained for the density is 3524 kg/m³. As for the space group: Pmmm (47).

***

B:
This record from Alexandria via LeMat-Bulk describes an optimized crystal structure of CaBe2Fe. The functional is PBE-GGA.

```
CaBe2Fe
1.0
3.9082 0.0000 0.0000
0.0000 3.9082 0.0000
0.0000 0.0000 7.5984
Ca Be Fe
2 4 2
direct
0.0000 0.0000 0.0000
0.5000 0.5000 0.5000
0.0000 0.0000 0.5000
0.0000 0.5000 0.2500
0.5000 0.0000 0.7500
0.5000 0.5000 0.0000
0.0000 0.5000 0.7500
0.5000 0.0000 0.2500
```

Results
The value obtained for the density is 3261 kg/m³. As for the space group: I-4m2 (119).

***

Quick one: most stable of them? A